# Tb5Sm4Tl GGA-PBE relaxed
data_Tb5Sm4Tl
_cell_length_a 8.124
_cell_length_b 8.124
_cell_length_c 8.124
_cell_angle_alpha 97.50
_cell_angle_beta 97.50
_cell_angle_gamma 137.66
_space_group_name_H-M_alt 'P 1'
_space_group_IT_number 1
loop_
_space_group_symop_operation_xyz
'x,y,z'
loop_
_atom_site_label
_atom_site_type_symbol
_atom_site_fract_x
_atom_site_fract_y
_atom_site_fract_z
Tb1 Tb 0.000 0.000 0.000
Tb2 Tb 0.522 0.522 0.629
Tb3 Tb 0.522 0.893 0.000
Tb4 Tb 0.893 0.522 0.000
Tb5 Tb 0.893 0.893 0.371
Sm1 Sm 0.198 0.512 0.314
Sm2 Sm 0.198 0.884 0.686
Sm3 Sm 0.512 0.198 0.314
Sm4 Sm 0.884 0.198 0.686
Tl1 Tl 0.481 0.481 0.000
# * excess energy over the best structure of this formula in the dataset: 79 meV/atom
# * formation enthalpy at 0 K: 0.1141 eV/atom